# Bi3Se4 | Alexandria | GGA-PBE | optimized geometry
data_Bi3Se4
_symmetry_space_group_name_H-M 'R -3 m'
_symmetry_Int_Tables_number 166
_symmetry_space_group_name_Hall '-R 3 2"'
_cell_length_a 4.3155
_cell_length_b 4.3155
_cell_length_c 41.7564
_cell_angle_alpha 90.00
_cell_angle_beta 90.00
_cell_angle_gamma 120.00
loop_
_atom_site_label
_atom_site_fract_x
_atom_site_fract_y
_atom_site_fract_z
Bi1 0.0000 0.0000 0.0000
Bi2 0.0000 0.0000 0.4225
Se1 0.0000 0.0000 0.1230
Se2 0.0000 0.0000 0.2932
# Energy above the lowest structure with this stoichiometry: 0.00 kcal/mol of atoms
# D(E_F): 0.2540 states/eV/atom
# Raw formation energy: -32 kJ per mole of atoms

***

# Tm5InRh4 | Alexandria | GGA-PBE | optimized geometry
data_Tm5InRh4
_symmetry_space_group_name_H-M 'P 4/m m m'
_symmetry_Int_Tables_number 123
_symmetry_space_group_name_Hall '-P 4 2'
_cell_length_a 3.425
_cell_length_b 3.425
_cell_length_c 17.510
_cell_angle_alpha 90.00
_cell_angle_beta 90.00
_cell_angle_gamma 90.00
loop_
_atom_site_label
_atom_site_fract_x
_atom_site_fract_y
_atom_site_fract_z
Tm1 0.000 0.000 0.000
Tm2 0.000 0.000 0.190
Tm3 0.000 0.000 0.378
In1 0.500 0.500 0.500
Rh1 0.500 0.500 0.095
Rh2 0.500 0.500 0.287
# D(E_F): 0.5941 states/eV/atom
# Energy of formation: -0.8639 eV/atom

***

# CsTl3Zn | Alexandria | GGA-PBE | optimized geometry
data_CsTl3Zn
_symmetry_space_group_name_H-M 'P m -3 m'
_symmetry_Int_Tables_number 221
_symmetry_space_group_name_Hall '-P 4 2 3'
_cell_length_a 6.865
_cell_length_b 6.865
_cell_length_c 6.865
_cell_angle_alpha 90.00
_cell_angle_beta 90.00
_cell_angle_gamma 90.00
loop_
_atom_site_label
_atom_site_fract_x
_atom_site_fract_y
_atom_site_fract_z
Cs1 0.000 0.000 0.000
Tl1 0.000 0.000 0.500
Zn1 0.500 0.500 0.500
# Energy above the lowest structure with this stoichiometry: 22.28 kcal/mol of atoms
# D(E_F): 1.9027 states/eV/atom
# Energy of formation: 0.9174 eV/atom

***

# LiV2Sn2 | Alexandria | GGA-PBE | optimized geometry
data_LiV2Sn2
_symmetry_space_group_name_H-M 'I 4/m m m'
_symmetry_Int_Tables_number 139
_symmetry_space_group_name_Hall '-I 4 2'
_cell_length_a 3.646
_cell_length_b 3.646
_cell_length_c 14.206
_cell_angle_alpha 90.00
_cell_angle_beta 90.00
_cell_angle_gamma 90.00
loop_
_atom_site_label
_atom_site_fract_x
_atom_site_fract_y
_atom_site_fract_z
Li1 0.000 0.000 0.000
V1 0.000 0.500 0.250
Sn1 0.000 0.000 0.397
# Energy above the lowest structure with this stoichiometry: 1.93 kcal/mol of atoms
# D(E_F): 0.8619 states/eV/atom
# Energy of formation: 0.1485 eV/atom

***

# KMg | Alexandria | GGA-PBE | optimized geometry
data_KMg
_symmetry_space_group_name_H-M 'R -3 m'
_symmetry_Int_Tables_number 166
_symmetry_space_group_name_Hall '-R 3 2"'
_cell_length_a 5.5872
_cell_length_b 5.5872
_cell_length_c 19.4750
_cell_angle_alpha 90.00
_cell_angle_beta 90.00
_cell_angle_gamma 120.00
loop_
_atom_site_label
_atom_site_fract_x
_atom_site_fract_y
_atom_site_fract_z
K1 0.0000 0.0000 0.1064
Mg1 0.0000 0.0000 0.3341
# D(E_F): 0.6605 states/eV/atom
# Energy of formation: 0.1851 eV/atom

***

# SmScO3 | Alexandria | GGA-PBE | optimized geometry
data_SmScO3
_symmetry_space_group_name_H-M 'P n m a'
_symmetry_Int_Tables_number 62
_symmetry_space_group_name_Hall '-P 2ac 2n'
_cell_length_a 5.814
_cell_length_b 8.036
_cell_length_c 5.555
_cell_angle_alpha 90.00
_cell_angle_beta 90.00
_cell_angle_gamma 90.00
loop_
_atom_site_label
_atom_site_fract_x
_atom_site_fract_y
_atom_site_fract_z
Sm1 0.059 0.250 0.017
Sc1 0.000 0.000 0.500
O1 0.048 0.750 0.382
O2 0.197 0.562 0.805
# D(E_F): 0.0000 states/eV/atom
# Raw formation energy: -338 kJ per mole of atoms

***

# Pm2HoTa | Alexandria | GGA-PBE | optimized geometry
data_Pm2HoTa
_symmetry_space_group_name_H-M 'R -3 m'
_symmetry_Int_Tables_number 166
_symmetry_space_group_name_Hall '-R 3 2"'
_cell_length_a 3.3068
_cell_length_b 3.3068
_cell_length_c 35.5837
_cell_angle_alpha 90.00
_cell_angle_beta 90.00
_cell_angle_gamma 120.00
loop_
_atom_site_label
_atom_site_fract_x
_atom_site_fract_y
_atom_site_fract_z
Pm1 0.0000 0.0000 0.0828
Ho1 0.0000 0.0000 0.5000
Ta1 0.0000 0.0000 0.0000
# D(E_F): 1.5470 states/eV/atom
# Energy of formation: 0.6420 eV/atom

***

# ReTeRu2 | Alexandria | GGA-PBE | optimized geometry
data_ReTeRu2
_symmetry_space_group_name_H-M 'C m m 2'
_symmetry_Int_Tables_number 35
_symmetry_space_group_name_Hall 'C 2 -2'
_cell_length_a 2.911
_cell_length_b 4.891
_cell_length_c 9.581
_cell_angle_alpha 90.00
_cell_angle_beta 90.00
_cell_angle_gamma 90.00
loop_
_atom_site_label
_atom_site_fract_x
_atom_site_fract_y
_atom_site_fract_z
Re1 0.000 0.000 0.000
Te1 0.000 0.500 0.296
Ru1 0.000 0.000 0.544
Ru2 0.000 0.500 0.779
# D(E_F): 1.3658 states/eV/atom
# Raw formation energy: 88 kJ per mole of atoms

***

# NpAgO5 | Alexandria | GGA-PBE | optimized geometry
data_NpAgO5
_symmetry_space_group_name_H-M 'P 1 21/c 1'
_symmetry_Int_Tables_number 14
_symmetry_space_group_name_Hall '-P 2ybc'
_cell_length_a 5.847
_cell_length_b 12.362
_cell_length_c 7.411
_cell_angle_alpha 90.00
_cell_angle_beta 107.11
_cell_angle_gamma 90.00
loop_
_atom_site_label
_atom_site_fract_x
_atom_site_fract_y
_atom_site_fract_z
Np1 0.024 0.018 0.255
Ag1 0.140 0.250 0.033
O1 0.118 0.089 0.574
O2 0.120 0.088 0.982
O3 0.193 0.194 0.295
O4 0.249 0.594 0.308
O5 0.303 0.552 0.819
# D(E_F): 0.0460 states/eV/atom
# Raw formation energy: -145 kJ per mole of atoms

***

# ThZr4Hg5 | Alexandria | GGA-PBE | optimized geometry
data_ThZr4Hg5
_symmetry_space_group_name_H-M 'P 4/m m m'
_symmetry_Int_Tables_number 123
_symmetry_space_group_name_Hall '-P 4 2'
_cell_length_a 3.230
_cell_length_b 3.230
_cell_length_c 21.704
_cell_angle_alpha 90.00
_cell_angle_beta 90.00
_cell_angle_gamma 90.00
loop_
_atom_site_label
_atom_site_fract_x
_atom_site_fract_y
_atom_site_fract_z
Th1 0.000 0.000 0.000
Zr1 0.000 0.000 0.209
Zr2 0.000 0.000 0.403
Hg1 0.500 0.500 0.113
Hg2 0.500 0.500 0.306
Hg3 0.500 0.500 0.500
# D(E_F): 1.2987 states/eV/atom
# Energy of formation: -0.1652 eV/atom

***

# TbPm5Y2Er | Alexandria | GGA-PBE | optimized geometry
data_TbPm5Y2Er
_symmetry_space_group_name_H-M 'C m c 21'
_symmetry_Int_Tables_number 36
_symmetry_space_group_name_Hall 'C 2c -2'
_cell_length_a 5.676
_cell_length_b 20.274
_cell_length_c 10.658
_cell_angle_alpha 90.00
_cell_angle_beta 90.00
_cell_angle_gamma 90.00
loop_
_atom_site_label
_atom_site_fract_x
_atom_site_fract_y
_atom_site_fract_z
Tb1 0.000 0.090 0.000
Pm1 0.000 0.019 0.283
Pm2 0.000 0.112 0.562
Pm3 0.000 0.202 0.246
Pm4 0.000 0.219 0.852
Pm5 0.000 0.482 0.559
Y1 0.000 0.385 0.855
Y2 0.000 0.388 0.276
Er1 0.000 0.300 0.550
# D(E_F): 1.6294 states/eV/atom
# Energy of formation: 0.1427 eV/atom